Computed, not measured: a geometry-optimized Mg2CdAsO6 structure at the GGA-PBE level of DFT.

Computed properties:
Energy   -5.441 eV per atom

a b c (Å): 9.466 11.559 5.980
angles (deg): 90.00 118.84 90.00
Space group C2/c (No. 15)
One atom of each set of equivalent atoms:
Mg: 0.123 0.085 0.140
Cd: 0.000 0.393 0.250
As: 0.000 0.326 0.750
O: 0.099 0.255 0.037
O: 0.116 0.061 0.458
O: 0.122 0.419 0.690

---

Computed, not measured: a geometry-optimized Ca2TeHIr structure at the GGA-PBE level of DFT.

Computed properties:
Energy   -4.380 eV per atom

a b c (Å): 5.534 5.534 3.658
angles (deg): 90.00 90.00 90.00
Space group P4/mmm (No. 123)
One atom of each set of equivalent atoms:
Ca: 0.000 0.500 0.000
Te: 0.000 0.000 0.500
H: 0.500 0.500 0.500
Ir: 0.500 0.500 0.000

---

Computed, not measured: a geometry-optimized Ac2CdGePb structure at the GGA-PBE level of DFT.

Computed properties:
Energy   -4.007 eV per atom

a b c (Å): 8.172 4.892 8.340
angles (deg): 90.00 90.17 90.00
Space group P2_1/m (No. 11)
One atom of each set of equivalent atoms:
Ac: 0.004 0.250 0.215
Ac: 0.496 0.250 0.212
Cd: 0.254 0.750 0.413
Ge: 0.249 0.750 0.088
Pb: 0.251 0.250 0.609

---

Computed, not measured: a geometry-optimized Dy3Ho7Th structure at the GGA-PBE level of DFT.

Computed properties:
Energy above the most stable polymorph in this dataset   115 meV/atom

a b c (Å): 16.755 10.572 8.174
angles (deg): 90.00 90.00 90.00
Space group Cmcm (No. 63)
One atom of each set of equivalent atoms:
Dy: 0.000 0.000 0.000
Dy: 0.165 0.446 0.250
Ho: 0.000 0.249 0.250
Ho: 0.146 0.251 0.560
Ho: 0.165 0.048 0.250
Th: 0.000 0.500 0.000

---

Computed, not measured: a geometry-optimized Ti4Zn5Au structure at the GGA-PBE level of DFT.

Computed properties:
Energy   -4.289 eV per atom

a b c (Å): 13.347 4.474 5.449
angles (deg): 90.00 104.52 90.00
Space group C2/m (No. 12)
One atom of each set of equivalent atoms:
Ti: 0.106 0.000 0.381
Ti: 0.202 0.500 0.818
Zn: 0.000 0.500 0.000
Zn: 0.096 0.000 0.886
Zn: 0.202 0.500 0.307
Au: 0.000 0.500 0.500

---

Computed, not measured: a geometry-optimized Cd2GaCu2Pd5 structure at the GGA-PBE level of DFT.

Computed properties:
Energy   -4.160 eV per atom

a b c (Å): 9.370 9.370 3.703
angles (deg): 90.00 90.00 90.00
Space group P4/mbm (No. 127)
One atom of each set of equivalent atoms:
Cd: 0.168 0.332 0.000
Ga: 0.000 0.000 0.000
Cu: 0.130 0.630 0.000
Pd: 0.000 0.500 0.500
Pd: 0.078 0.808 0.500

---

Computed, not measured: a geometry-optimized Li4GePd structure at the GGA-PBE level of DFT.

Computed properties:
Energy above the most stable polymorph in this dataset   148 meV/atom

a b c (Å): 11.794 7.126 4.725
angles (deg): 90.00 104.16 90.00
Space group C2/m (No. 12)
One atom of each set of equivalent atoms:
Li: 0.000 0.191 0.000
Li: 0.141 0.191 0.614
Li: 0.163 0.500 0.301
Ge: 0.210 0.000 0.140
Pd: 0.068 0.500 0.775

---

Computed, not measured: a geometry-optimized TbAgGe structure at the GGA-PBE level of DFT.

Computed properties:
Energy   -4.534 eV per atom

a b c (Å): 6.578 6.578 6.578
angles (deg): 90.00 90.00 90.00
Space group F-43m (No. 216)
One atom of each set of equivalent atoms:
Tb: 0.000 0.000 0.000
Ag: 0.000 0.000 0.500
Ge: 0.250 0.250 0.250

---

Computed, not measured: a geometry-optimized SrVSeN2 structure at the GGA-PBE level of DFT.

Computed properties:
Energy above the most stable polymorph in this dataset   2046 meV/atom

a b c (Å): 4.684 4.684 6.186
angles (deg): 90.00 90.00 90.00
Space group P4/mmm (No. 123)
One atom of each set of equivalent atoms:
Sr: 0.000 0.000 0.000
V: 0.500 0.500 0.500
Se: 0.000 0.000 0.500
N: 0.000 0.500 0.000

---

Computed, not measured: a geometry-optimized ZnHgRu2 structure at the GGA-PBE level of DFT.

Computed properties:
Energy above the most stable polymorph in this dataset   323 meV/atom

a b c (Å): 3.950 3.950 4.101
angles (deg): 90.00 90.00 90.00
Space group P4/mmm (No. 123)
One atom of each set of equivalent atoms:
Zn: 0.000 0.000 0.000
Hg: 0.500 0.500 0.000
Ru: 0.000 0.500 0.500

---

Computed, not measured: a geometry-optimized PmNdDy5 structure at the GGA-PBE level of DFT.

Computed properties:
Energy above the most stable polymorph in this dataset   0 meV/atom

a b c (Å): 11.753 6.819 12.190
angles (deg): 90.00 109.44 90.00
Space group C2/c (No. 15)
One atom of each set of equivalent atoms:
Pm: 0.000 0.026 0.250
Nd: 0.250 0.250 0.000
Dy: 0.000 0.414 0.750
Dy: 0.077 0.272 0.499
Dy: 0.221 0.360 0.252

---

Computed, not measured: a geometry-optimized AcTbMoN4 structure at the GGA-PBE level of DFT.

Computed properties:
Energy   -8.612 eV per atom

a b c (Å): 5.933 5.977 7.100
angles (deg): 90.00 108.02 90.00
Space group P2_1/m (No. 11)
One atom of each set of equivalent atoms:
Ac: 0.228 0.250 0.437
Tb: 0.313 0.250 0.968
Mo: 0.235 0.750 0.176
N: 0.037 0.750 0.336
N: 0.039 0.750 0.920
N: 0.453 0.508 0.227

---

Computed, not measured: a geometry-optimized TaZn3Sb structure at the GGA-PBE level of DFT.

Computed properties:
Energy above the most stable polymorph in this dataset   415 meV/atom

a b c (Å): 5.038 5.038 5.038
angles (deg): 90.00 90.00 90.00
Space group Pm-3m (No. 221)
One atom of each set of equivalent atoms:
Ta: 0.000 0.000 0.000
Zn: 0.000 0.500 0.500
Sb: 0.500 0.500 0.500

---

Computed, not measured: a geometry-optimized Pr3SbTe3 structure at the GGA-PBE level of DFT.

Computed properties:
Energy   -5.280 eV per atom

a b c (Å): 9.4207 9.4207 19.3440
angles (deg): 90.00 90.00 120.00
Space group R-3 (No. 148, hexagonal axes)
One atom of each set of equivalent atoms:
Pr: 0.0122 0.3898 0.4211
Sb: 0.0000 0.0000 0.1615
Te: 0.0098 0.2733 0.5911

---

Computed, not measured: a geometry-optimized PmEr2Ni structure at the GGA-PBE level of DFT.

Computed properties:
Energy above the most stable polymorph in this dataset   110 meV/atom

a b c (Å): 3.8065 3.8065 26.5966
angles (deg): 90.00 90.00 120.00
Space group R3m (No. 160, hexagonal axes)
One atom of each set of equivalent atoms:
Pm: 0.0000 0.0000 0.0000
Er: 0.0000 0.0000 0.5552
Er: 0.0000 0.0000 0.7734
Ni: 0.0000 0.0000 0.1635

---

Computed, not measured: a geometry-optimized PrHoSc structure at the GGA-PBE level of DFT.

Computed properties:
Energy above the most stable polymorph in this dataset   4 meV/atom

a b c (Å): 3.553 3.553 14.502
angles (deg): 90.00 90.00 90.00
Space group P4/nmm (No. 129, origin choice 2)
One atom of each set of equivalent atoms:
Pr: 0.250 0.250 0.095
Ho: 0.250 0.250 0.725
Sc: 0.250 0.250 0.431

---

Computed, not measured: a geometry-optimized V2Ge2Te structure at the GGA-PBE level of DFT.

Computed properties:
Energy above the most stable polymorph in this dataset   58 meV/atom

a b c (Å): 7.128 7.128 3.346
angles (deg): 90.00 90.00 90.00
Space group P4/mbm (No. 127)
One atom of each set of equivalent atoms:
V: 0.156 0.344 0.000
Ge: 0.133 0.633 0.500
Te: 0.000 0.000 0.000

---

Computed, not measured: a geometry-optimized Ag3Rh structure at the GGA-PBE level of DFT.

Computed properties:
Energy   -3.658 eV per atom

a b c (Å): 5.174 5.174 5.174
angles (deg): 90.00 90.00 90.00
Space group Pm-3n (No. 223)
One atom of each set of equivalent atoms:
Ag: 0.000 0.250 0.500
Rh: 0.000 0.000 0.000

---

Computed, not measured: a geometry-optimized AcSiPdN structure at the GGA-PBE level of DFT.

Computed properties:
Energy   -6.834 eV per atom

a b c (Å): 4.083 4.083 8.646
angles (deg): 90.00 90.00 90.00
Space group P4/nmm (No. 129, origin choice 2)
One atom of each set of equivalent atoms:
Ac: 0.250 0.250 0.159
Si: 0.250 0.250 0.659
Pd: 0.250 0.750 0.500
N: 0.250 0.250 0.863

---

Computed, not measured: a geometry-optimized Mn2IrRu structure at the GGA-PBE level of DFT.

Computed properties:
Energy   -9.028 eV per atom

a b c (Å): 2.6708 2.6708 25.4963
angles (deg): 90.00 90.00 120.00
Space group R3m (No. 160, hexagonal axes)
One atom of each set of equivalent atoms:
Mn: 0.0000 0.0000 0.0000
Mn: 0.0000 0.0000 0.2552
Ir: 0.0000 0.0000 0.5053
Ru: 0.0000 0.0000 0.7492